(1)
{
  "formula": "CoSe2Cl4",
  "functional": "PBE-GGA",
  "state": "relaxed",
  "e_form_raw_ev_per_atom": 0.086,
  "magnetic_moment_mub_per_cell": 4.48,
  "total_energy_ev_per_atom": -2.980,
  "lattice_angstrom": [[4.5926, 0.0000, 0.0000], [0.0000, 4.5926, 0.0000], [0.0000, 0.0000, 17.3415]],
  "species": ["Co", "Co", "Se", "Se", "Se", "Se", "Cl", "Cl", "Cl", "Cl", "Cl", "Cl", "Cl", "Cl"],
  "frac_coords": [[0.0000, 0.0000, 0.0000], [0.5000, 0.5000, 0.5000], [0.0000, 0.0000, 0.3265], [0.0000, 0.0000, 0.6735], [0.5000, 0.5000, 0.1735], [0.5000, 0.5000, 0.8265], [0.0000, 0.0000, 0.2042], [0.0000, 0.0000, 0.7958], [0.0000, 0.5000, 0.0000], [0.0000, 0.5000, 0.5000], [0.5000, 0.0000, 0.0000], [0.5000, 0.0000, 0.5000], [0.5000, 0.5000, 0.2958], [0.5000, 0.5000, 0.7042]]
}



(2)
{
  "formula": "Mg3TlH",
  "functional": "PBE-GGA",
  "state": "relaxed",
  "magnetic_moment_mub_per_cell": 0.00,
  "e_above_lowest_polymorph_mev_per_atom": 598.3,
  "total_energy_ev_per_atom": -1.504,
  "lattice_angstrom": [[5.3428, 0.0000, 0.0000], [0.0000, 5.3428, 0.0000], [0.0000, 0.0000, 5.3428]],
  "species": ["Mg", "Mg", "Mg", "Tl", "H"],
  "frac_coords": [[0.0000, 0.0000, 0.5000], [0.0000, 0.5000, 0.0000], [0.5000, 0.0000, 0.0000], [0.0000, 0.0000, 0.0000], [0.5000, 0.5000, 0.5000]]
}